Computed, not measured: a relaxed TaVFeOs crystal at the PBE-GGA level of DFT.

Values from the calculation:
**SG**: F-43m (216)

```
TaVFeOs
1.0
6.129 0.000 0.000
0.000 6.129 0.000
0.000 0.000 6.129
Ta V Fe Os
4 4 4 4
Cartesian
0.000 0.000 0.000
0.000 3.065 3.065
3.065 0.000 3.065
3.065 3.065 0.000
0.000 0.000 3.065
0.000 3.065 0.000
3.065 0.000 0.000
3.065 3.065 3.065
1.532 1.532 4.597
1.532 4.597 1.532
4.597 1.532 1.532
4.597 4.597 4.597
1.532 1.532 1.532
1.532 4.597 4.597
4.597 1.532 4.597
4.597 4.597 1.532
```

Computed, not measured: a relaxed TbFeOs crystal at the PBE-GGA level of DFT.

Values from the calculation:
**SG**: Imma (74)
**Offset from the most stable computed form**: 0.000 eV per atom

```
TbFeOs
1.0
5.242 0.000 0.000
0.000 5.266 0.000
0.000 0.000 7.544
Tb Fe Os
4 4 4
Cartesian
0.000 1.317 0.926
0.000 3.950 6.618
2.621 1.317 2.846
2.621 3.950 4.698
0.000 0.000 3.772
0.000 2.633 3.772
2.621 0.000 0.000
2.621 2.633 0.000
1.311 1.317 5.658
1.311 3.950 1.886
3.932 1.317 5.658
3.932 3.950 1.886
```

Computed, not measured: a relaxed Tb2Fe3Os crystal at the PBE-GGA level of DFT.

Values from the calculation:
**SG**: C2/m (12)

```
Tb2Fe3Os
1.0
8.988 0.000 0.000
0.000 5.181 0.000
-2.995 0.000 4.291
Tb Fe Os
4 6 2
Cartesian
0.001 0.000 1.613
1.499 2.590 2.678
4.495 2.590 1.613
5.993 0.000 2.678
0.000 2.590 0.000
2.247 1.295 0.000
2.247 3.886 0.000
4.494 0.000 0.000
6.741 1.295 0.000
6.741 3.886 0.000
-1.497 2.590 2.145
2.997 0.000 2.145
```

Computed, not measured: a relaxed TbFeOs crystal at the PBE-GGA level of DFT.

Values from the calculation:
**SG**: C2/m (12)
**Offset from the most stable computed form**: 0.373 eV per atom

```
TbFeOs
1.0
8.334 0.000 0.000
0.000 5.409 0.000
-1.455 0.000 4.871
Tb Fe Os
4 4 4
Cartesian
0.611 0.000 1.833
2.101 2.705 3.037
4.778 2.705 1.833
6.268 0.000 3.037
2.084 1.352 0.000
2.084 4.057 0.000
6.251 1.352 0.000
6.251 4.057 0.000
-1.044 2.705 3.624
3.756 0.000 1.247
3.123 0.000 3.624
7.923 2.705 1.247
```

Computed, not measured: a relaxed Tb2FeOs3 crystal at the PBE-GGA level of DFT.

Values from the calculation:
**SG**: C2/m (12)

```
Tb2FeOs3
1.0
9.131 0.000 0.000
0.000 5.343 0.000
-2.990 0.000 4.367
Tb Fe Os
4 2 6
Cartesian
0.007 0.000 1.642
1.569 2.671 2.725
4.573 2.671 1.642
6.134 0.000 2.725
0.000 2.671 0.000
4.566 0.000 0.000
-1.495 2.671 2.184
2.283 1.336 0.000
2.283 4.007 0.000
3.071 0.000 2.184
6.848 1.336 0.000
6.848 4.007 0.000
```

Computed, not measured: a relaxed TbFe2Os crystal at the PBE-GGA level of DFT.

Values from the calculation:
**SG**: Cmmm (65)

```
TbFe2Os
1.0
5.289 0.000 0.000
0.000 6.578 0.000
0.000 0.000 4.267
Tb Fe Os
2 4 2
Cartesian
0.000 0.000 0.000
2.645 3.289 0.000
0.000 2.059 2.134
0.000 4.519 2.134
2.645 1.230 2.134
2.645 5.348 2.134
0.000 3.289 0.000
2.645 0.000 0.000
```

Computed, not measured: a relaxed Tb2FeOs crystal at the PBE-GGA level of DFT.

Values from the calculation:
**SG**: R-3m (166)

```
Tb2FeOs
1.0
3.231 0.000 0.000
-1.616 2.798 0.000
0.000 0.000 29.099
Tb Fe Os
6 3 3
Cartesian
0.000 0.000 2.702
0.000 0.000 26.396
0.000 1.866 16.697
0.000 1.866 22.102
1.616 0.933 6.997
1.616 0.933 12.402
0.000 0.000 0.000
0.000 1.866 19.399
1.616 0.933 9.700
0.000 0.000 14.549
0.000 1.866 4.850
1.616 0.933 24.249
```

Computed, not measured: a relaxed Fe2TcOs crystal at the PBE-GGA level of DFT.

Values from the calculation:
**SG**: Pmm2 (25)

```
Fe2TcOs
1.0
2.672 0.000 0.000
0.000 3.721 0.000
0.000 0.000 5.216
Fe Tc Os
2 1 1
Cartesian
0.000 0.000 0.000
1.336 1.860 1.201
0.000 0.000 2.526
1.336 1.860 3.902
```

Computed, not measured: a relaxed Fe2TcOs crystal at the PBE-GGA level of DFT.

Values from the calculation:
**SG**: P4/mmm (123)

```
Fe2TcOs
1.0
4.213 0.000 0.000
0.000 4.213 0.000
0.000 0.000 2.954
Fe Tc Os
2 1 1
Cartesian
0.000 2.107 0.000
2.107 0.000 0.000
0.000 0.000 1.477
2.107 2.107 1.477
```

Computed, not measured: a relaxed FeTcOs2 crystal at the PBE-GGA level of DFT.

Values from the calculation:
**SG**: I4/mmm (139)
**Offset from the most stable computed form**: 0.000 eV per atom

```
FeTcOs2
1.0
3.803 0.000 0.000
0.000 3.803 0.000
0.000 0.000 7.552
Fe Tc Os
2 2 4
Cartesian
0.000 0.000 0.000
1.902 1.902 3.776
0.000 0.000 3.776
1.902 1.902 0.000
0.000 1.902 1.888
0.000 1.902 5.664
1.902 0.000 1.888
1.902 0.000 5.664
```

Computed, not measured: a relaxed Fe2TcOs crystal at the PBE-GGA level of DFT.

Values from the calculation:
**SG**: Imm2 (44)

```
Fe2TcOs
1.0
2.973 0.000 0.000
0.000 4.197 0.000
0.000 0.000 8.392
Fe Tc Os
4 2 2
Cartesian
0.000 0.000 0.000
0.000 2.098 2.279
1.486 0.000 6.475
1.486 2.098 4.196
0.000 0.000 4.355
1.486 2.098 0.159
0.000 2.098 6.326
1.486 0.000 2.130
```

Computed, not measured: a relaxed Fe2TcOs crystal at the PBE-GGA level of DFT.

Values from the calculation:
**SG**: I-42d (122)

```
Fe2TcOs
1.0
5.233 0.000 0.000
0.000 5.233 0.000
0.000 0.000 10.383
Fe Tc Os
8 4 4
Cartesian
1.310 1.308 1.298
1.307 1.308 6.489
1.308 3.926 3.894
1.308 3.924 9.085
3.925 1.307 3.894
3.925 1.310 9.085
3.924 3.925 1.298
3.926 3.925 6.489
0.000 0.000 0.000
0.000 2.617 2.596
2.617 0.000 7.787
2.617 2.617 5.191
0.000 0.000 5.191
0.000 2.617 7.787
2.617 0.000 2.596
2.617 2.617 0.000
```

Computed, not measured: a relaxed Fe2TcOs crystal at the PBE-GGA level of DFT.

Values from the calculation:
**SG**: P4mm (99)

```
Fe2TcOs
1.0
2.865 0.000 0.000
0.000 2.865 0.000
0.000 0.000 6.371
Fe Tc Os
2 1 1
Cartesian
0.000 0.000 0.000
1.432 1.432 1.335
1.432 1.432 4.727
0.000 0.000 2.973
```

Computed, not measured: a relaxed FeTcOs2 crystal at the PBE-GGA level of DFT.

Values from the calculation:
**SG**: Cmm2 (35)
**Offset from the most stable computed form**: 0.335 eV per atom

```
FeTcOs2
1.0
2.814 0.000 0.000
0.000 4.506 0.000
0.000 0.000 8.969
Fe Tc Os
2 2 4
Cartesian
0.000 0.000 0.000
1.407 2.253 0.000
0.000 2.253 6.790
1.407 0.000 6.790
0.000 0.000 4.505
0.000 2.253 2.167
1.407 0.000 2.167
1.407 2.253 4.505
```

Computed, not measured: a relaxed FeTcOs2 crystal at the PBE-GGA level of DFT.

Values from the calculation:
**SG**: Pmmm (47)
**Offset from the most stable computed form**: 0.002 eV per atom

```
FeTcOs2
1.0
2.697 0.000 0.000
0.000 3.800 0.000
0.000 0.000 5.360
Fe Tc Os
1 1 2
Cartesian
0.000 0.000 0.000
0.000 0.000 2.680
1.349 1.900 1.289
1.349 1.900 4.072
```

Computed, not measured: a relaxed FeTcOs2 crystal at the PBE-GGA level of DFT.

Values from the calculation:
**SG**: Imm2 (44)
**Offset from the most stable computed form**: 0.185 eV per atom

```
FeTcOs2
1.0
2.897 0.000 0.000
0.000 4.340 0.000
0.000 0.000 8.842
Fe Tc Os
2 2 4
Cartesian
0.000 0.000 0.000
1.449 2.170 4.421
0.000 2.170 6.431
1.449 0.000 2.010
0.000 0.000 4.434
0.000 2.170 2.406
1.449 0.000 6.827
1.449 2.170 0.013
```

Computed, not measured: a relaxed Fe2TcOs crystal at the PBE-GGA level of DFT.

Values from the calculation:
**SG**: C2/m (12)

```
Fe2TcOs
1.0
8.622 0.000 0.000
0.000 2.662 0.000
-0.830 0.000 4.545
Fe Tc Os
4 2 2
Cartesian
1.935 0.000 1.128
1.546 1.331 3.416
6.246 1.331 1.128
5.857 0.000 3.416
-0.415 0.000 2.272
3.896 1.331 2.272
0.000 1.331 0.000
4.311 0.000 0.000
```

Computed, not measured: a relaxed FeTcOs2 crystal at the PBE-GGA level of DFT.

Values from the calculation:
**SG**: Cmmm (65)
**Offset from the most stable computed form**: 0.028 eV per atom

```
FeTcOs2
1.0
5.364 0.000 0.000
0.000 7.581 0.000
0.000 0.000 2.707
Fe Tc Os
2 2 4
Cartesian
0.000 0.000 0.000
2.682 3.790 0.000
0.000 3.790 0.000
2.682 0.000 0.000
1.341 1.895 1.353
1.341 5.685 1.353
4.023 1.895 1.353
4.023 5.685 1.353
```

Computed, not measured: a relaxed FeTcOs2 crystal at the PBE-GGA level of DFT.

Values from the calculation:
**SG**: P4mm (99)
**Offset from the most stable computed form**: 0.023 eV per atom

```
FeTcOs2
1.0
2.696 0.000 0.000
0.000 2.696 0.000
0.000 0.000 7.421
Fe Tc Os
1 1 2
Cartesian
0.000 0.000 0.000
1.348 1.348 5.664
0.000 0.000 3.674
1.348 1.348 1.748
```

Computed, not measured: a relaxed Fe2TcOs crystal at the PBE-GGA level of DFT.

Values from the calculation:
**SG**: P4/mmm (123)

```
Fe2TcOs
1.0
3.714 0.000 0.000
0.000 3.714 0.000
0.000 0.000 3.615
Fe Tc Os
2 1 1
Cartesian
0.000 1.857 0.000
1.857 0.000 0.000
0.000 0.000 1.807
1.857 1.857 1.807
```

Computed, not measured: a relaxed FeTcOs2 crystal at the PBE-GGA level of DFT.

Values from the calculation:
**SG**: Cm (8)
**Offset from the most stable computed form**: 0.019 eV per atom

```
FeTcOs2
1.0
8.925 0.000 0.000
0.000 2.704 0.000
-0.789 0.000 4.570
Fe Tc Os
2 2 4
Cartesian
0.000 0.000 0.000
4.463 1.352 0.000
1.614 0.000 3.448
6.077 1.352 3.448
2.049 1.352 1.133
4.051 0.000 2.261
6.512 0.000 1.133
8.513 1.352 2.261
```

Computed, not measured: a relaxed FeTcOs2 crystal at the PBE-GGA level of DFT.

Values from the calculation:
**SG**: I-4m2 (119)
**Offset from the most stable computed form**: 0.002 eV per atom

```
FeTcOs2
1.0
3.792 0.000 0.000
0.000 3.792 0.000
0.000 0.000 7.567
Fe Tc Os
2 2 4
Cartesian
0.000 0.000 0.000
1.896 1.896 3.783
0.000 1.896 1.892
1.896 0.000 5.675
0.000 0.000 3.783
0.000 1.896 5.675
1.896 0.000 1.892
1.896 1.896 0.000
```

Computed, not measured: a relaxed Fe2TcOs2 crystal at the PBE-GGA level of DFT.

Values from the calculation:
**SG**: P4/mbm (127)
**Offset from the most stable computed form**: 0.000 eV per atom

```
Fe2TcOs2
1.0
6.978 0.000 0.000
0.000 6.978 0.000
0.000 0.000 2.680
Fe Tc Os
4 2 4
Cartesian
0.837 2.652 0.000
2.652 6.141 0.000
4.326 0.837 0.000
6.141 4.326 0.000
0.000 0.000 0.000
3.489 3.489 0.000
1.223 4.712 1.340
2.265 1.223 1.340
4.712 5.754 1.340
5.754 2.265 1.340
```

Computed, not measured: a relaxed Fe2TcOs crystal at the PBE-GGA level of DFT.

Values from the calculation:
**SG**: F-43m (216)

```
Fe2TcOs
1.0
5.995 0.000 0.000
0.000 5.995 0.000
0.000 0.000 5.995
Fe Tc Os
8 4 4
Cartesian
0.000 0.000 0.000
0.000 2.998 2.998
1.499 1.499 1.499
1.499 4.496 4.496
2.998 0.000 2.998
2.998 2.998 0.000
4.496 1.499 4.496
4.496 4.496 1.499
1.499 1.499 4.496
1.499 4.496 1.499
4.496 1.499 1.499
4.496 4.496 4.496
0.000 0.000 2.998
0.000 2.998 0.000
2.998 0.000 0.000
2.998 2.998 2.998
```

Computed, not measured: a relaxed Fe2TcOs crystal at the PBE-GGA level of DFT.

Values from the calculation:
**SG**: Cmmm (65)

```
Fe2TcOs
1.0
5.253 0.000 0.000
0.000 7.223 0.000
0.000 0.000 2.627
Fe Tc Os
4 2 2
Cartesian
1.313 1.806 0.000
1.313 5.417 0.000
3.940 1.806 0.000
3.940 5.417 0.000
0.000 0.000 1.314
2.626 3.612 1.314
0.000 3.612 1.314
2.626 0.000 1.314
```

Computed, not measured: a relaxed FeTcOs2 crystal at the PBE-GGA level of DFT.

Values from the calculation:
**SG**: P4/mmm (123)
**Offset from the most stable computed form**: 0.013 eV per atom

```
FeTcOs2
1.0
2.693 0.000 0.000
0.000 2.693 0.000
0.000 0.000 7.509
Fe Tc Os
1 1 2
Cartesian
0.000 0.000 0.000
0.000 0.000 3.754
1.347 1.347 1.790
1.347 1.347 5.719
```

Computed, not measured: a relaxed FeTcOs2 crystal at the PBE-GGA level of DFT.

Values from the calculation:
**SG**: Cmmm (65)
**Offset from the most stable computed form**: 0.295 eV per atom

```
FeTcOs2
1.0
2.821 0.000 0.000
0.000 4.510 0.000
0.000 0.000 8.932
Fe Tc Os
2 2 4
Cartesian
0.000 0.000 0.000
1.411 2.255 0.000
0.000 0.000 4.466
1.411 2.255 4.466
0.000 2.255 2.172
0.000 2.255 6.760
1.411 0.000 2.172
1.411 0.000 6.760
```

Computed, not measured: a relaxed FeTcOs2 crystal at the PBE-GGA level of DFT.

Values from the calculation:
**SG**: P2/m (10)
**Offset from the most stable computed form**: 0.086 eV per atom

```
FeTcOs2
1.0
2.690 0.000 0.000
0.000 4.041 0.000
-0.912 0.000 5.142
Fe Tc Os
1 1 2
Cartesian
0.000 0.000 0.000
-0.456 0.000 2.571
0.841 2.020 1.255
0.938 2.020 3.888
```

Computed, not measured: a relaxed Fe2TcOs crystal at the PBE-GGA level of DFT.

Values from the calculation:
**SG**: P2/m (10)

```
Fe2TcOs
1.0
2.610 0.000 0.000
0.000 4.269 0.000
-0.636 0.000 4.822
Fe Tc Os
2 1 1
Cartesian
0.486 0.000 1.206
1.488 0.000 3.616
-0.318 2.135 2.411
1.305 2.135 0.000
```

Computed, not measured: a relaxed Fe2TcOs crystal at the PBE-GGA level of DFT.

Values from the calculation:
**SG**: R3m (160)

```
Fe2TcOs
1.0
2.703 0.000 0.000
-1.351 2.341 0.000
0.000 0.000 25.271
Fe Tc Os
6 3 3
Cartesian
0.000 0.000 0.000
0.000 0.000 6.501
0.000 1.561 16.847
0.000 1.561 23.349
1.351 0.780 8.424
1.351 0.780 14.925
0.000 0.000 12.779
0.000 1.561 4.355
1.351 0.780 21.202
0.000 0.000 18.996
0.000 1.561 10.573
1.351 0.780 2.149
```

| no. | ΔH_f (0 K) (eV/atom) | calculated volume (Å³/atom) |
| --- | --- | --- |
| 1 | -0.213 | 14.39 |
| 2 | -0.216 | 17.36 |
| 3 | -0.145 | 16.65 |
| 4 | 0.157 | 18.30 |
| 5 | -0.252 | 17.76 |
| 6 | 0.581 | 18.56 |
| 7 | 0.664 | 21.93 |
| 8 | 0.117 | 12.96 |
| 9 | 0.163 | 13.11 |
| 10 | 0.110 | 13.65 |
| 11 | 0.111 | 13.09 |
| 12 | 1.330 | 17.77 |
| 13 | 0.112 | 13.07 |
| 14 | 0.445 | 14.22 |
| 15 | 0.112 | 13.73 |
| 16 | 0.295 | 13.90 |
| 17 | 0.157 | 13.04 |
| 18 | 0.138 | 13.76 |
| 19 | 0.133 | 13.49 |
| 20 | 0.117 | 12.46 |
| 21 | 0.129 | 13.79 |
| 22 | 0.112 | 13.60 |
| 23 | 0.184 | 13.05 |
| 24 | 0.208 | 13.47 |
| 25 | 0.121 | 12.46 |
| 26 | 0.123 | 13.62 |
| 27 | 0.404 | 14.21 |
| 28 | 0.196 | 13.97 |
| 29 | 0.232 | 13.43 |
| 30 | 0.152 | 13.32 |